Material: LiNd4Se5
Method: DFT, GGA-PBE
State: optimized geometry

Cell lengths 4.2078, 4.2078, 17.1664 Å; angles 82.96, 82.96, 60.00 degrees
Positions (direct):
Se (0.0000, 0.0000, 0.0000)
Se (0.1972, 0.1972, 0.4084)
Se (0.8028, 0.8028, 0.5916)
Se (0.4019, 0.4019, 0.7942)
Se (0.5981, 0.5981, 0.2058)
Nd (0.8970, 0.8970, 0.3089)
Nd (0.7010, 0.7010, 0.8969)
Nd (0.2990, 0.2990, 0.1031)
Nd (0.1030, 0.1030, 0.6911)
Li (0.5000, 0.5000, 0.5000)

## Properties
Polymorph energy (0 for the lowest one) in eV per formula unit: 0.17
Formation energy (no corrections) in kJ per mole of atoms: -170
Space-group type: R-3m (166)
Volume in Å³/atom: 26.06
Total magnetization in μB per formula unit: 0.00
D(E_F) in states/eV per cell: 4.58